Record 1
Entry from the Alexandria database: crystalline Pr8MgAg2 at its relaxed geometry (PBE).

The density of states at the Fermi level comes out at 1.00 states/eV per atom. For the formation energy, the calculation gives -0.063 eV/atom. The energy above the most stable polymorph in this dataset comes out at 14 meV/atom. As for the final energy: -4.202 eV/atom.

The space group is C2/m (No. 12) and the conventional cell measures 18.378, 5.306 and 7.684 Å, with angles of 90.00, 109.59 and 90.00 degrees. Symmetry generates all atoms from Pr at (0.032, 0.000, 0.259), Pr at (0.091, 0.500, 0.967), Pr at (0.174, 0.500, 0.467), Pr at (0.187, 0.000, 0.793), Mg at (0.000, 0.500, 0.500) and Ag at (0.187, 0.000, 0.188).



Record 2
Entry from the Alexandria database: crystalline LuNbIn2 at its relaxed geometry (PBE).

The density of states at the Fermi level comes out at 0.91 states/eV per atom. For the formation energy, the calculation gives 0.025 eV/atom. As for the final energy: -4.992 eV/atom.

The space group is R-3m (No. 166, hexagonal axes) and the conventional cell measures 3.2285, 3.2285 and 30.5041 Å, with angles of 90.00, 90.00 and 120.00 degrees. Symmetry generates all atoms from Lu at (0.0000, 0.0000, 0.0000), Nb at (0.0000, 0.0000, 0.5000) and In at (0.0000, 0.0000, 0.2449).



Record 3
Entry from the Alexandria database: crystalline SrCuOs3 at its relaxed geometry (PBE).

The density of states at the Fermi level comes out at 1.63 states/eV per atom. For the formation energy, the calculation gives 1.705 eV/atom. The energy above the most stable polymorph in this dataset comes out at 0 meV/atom. As for the final energy: -6.189 eV/atom.

The space group is Pm-3m (No. 221) and the conventional cell measures 4.615, 4.615 and 4.615 Å, with angles of 90.00, 90.00 and 90.00 degrees. Symmetry generates all atoms from Sr at (0.000, 0.000, 0.000), Cu at (0.500, 0.500, 0.500) and Os at (0.000, 0.500, 0.500).



Record 4
Entry from the Alexandria database: crystalline Pm2NbGe4 at its relaxed geometry (PBE).

The density of states at the Fermi level comes out at 0.51 states/eV per atom. For the formation energy, the calculation gives -0.380 eV/atom. As for the final energy: -5.815 eV/atom.

The space group is I4/mmm (No. 139) and the conventional cell measures 6.194, 6.194 and 8.700 Å, with angles of 90.00, 90.00 and 90.00 degrees. Symmetry generates all atoms from Pm at (0.000, 0.500, 0.250), Nb at (0.000, 0.000, 0.000) and Ge at (0.206, 0.206, 0.500).



Record 5
Entry from the Alexandria database: crystalline Na4Ho3AlO8 at its relaxed geometry (PBE).

The density of states at the Fermi level comes out at 0.00 states/eV per atom. The formation energy without anion corrections comes out at -42.444 eV per formula unit. As for the final energy: -6.554 eV/atom.

The space group is R-3m (No. 166, hexagonal axes) and the conventional cell measures 6.5893, 6.5893 and 16.6323 Å, with angles of 90.00, 90.00 and 120.00 degrees. Symmetry generates all atoms from Na at (0.0000, 0.0000, 0.0000), Na at (0.0000, 0.5000, 0.0000), Ho at (0.0000, 0.5000, 0.5000), Al at (0.0000, 0.0000, 0.5000), O at (0.0000, 0.0000, 0.2377) and O at (0.0280, 0.5140, 0.2340).



Record 6
Entry from the Alexandria database: crystalline RbCaCl3 at its relaxed geometry (PBE).

The density of states at the Fermi level comes out at 0.00 states/eV per atom. The formation energy without anion corrections comes out at -9.636 eV per formula unit. As for the final energy: -3.629 eV/atom.

The space group is I-4m2 (No. 119) and the conventional cell measures 6.336, 6.336 and 17.734 Å, with angles of 90.00, 90.00 and 90.00 degrees. Symmetry generates all atoms from Rb at (0.000, 0.000, 0.105), Ca at (0.000, 0.000, 0.500), Ca at (0.000, 0.500, 0.250), Cl at (0.000, 0.240, 0.360) and Cl at (0.000, 0.500, 0.538).



Record 7
Entry from the Alexandria database: crystalline PrTm8In2 at its relaxed geometry (PBE).

The density of states at the Fermi level comes out at 1.33 states/eV per atom. For the formation energy, the calculation gives -0.049 eV/atom. As for the final energy: -4.234 eV/atom.

The space group is C2/m (No. 12) and the conventional cell measures 18.736, 6.768 and 5.264 Å, with angles of 90.00, 92.43 and 90.00 degrees. Symmetry generates all atoms from Pr at (0.000, 0.000, 0.000), Tm at (0.047, 0.500, 0.241), Tm at (0.136, 0.262, 0.734), Tm at (0.197, 0.000, 0.236) and In at (0.213, 0.500, 0.248).



Record 8
Entry from the Alexandria database: crystalline V8Cr2Ru at its relaxed geometry (PBE).

The density of states at the Fermi level comes out at 1.04 states/eV per atom. For the formation energy, the calculation gives 0.537 eV/atom. As for the final energy: -8.688 eV/atom.

The space group is C2/m (No. 12) and the conventional cell measures 8.137, 8.167 and 4.932 Å, with angles of 90.00, 99.42 and 90.00 degrees. Symmetry generates all atoms from V at (0.083, 0.000, 0.344), V at (0.155, 0.258, 0.722), V at (0.203, 0.000, 0.952), Cr at (0.139, 0.500, 0.471) and Ru at (0.000, 0.500, 0.000).



Record 9
Entry from the Alexandria database: crystalline Ru2W at its relaxed geometry (PBE).

The density of states at the Fermi level comes out at 1.36 states/eV per atom. For the formation energy, the calculation gives 0.478 eV/atom. As for the final energy: -10.023 eV/atom.

The space group is Fm-3m (No. 225) and the conventional cell measures 5.920, 5.920 and 5.920 Å, with angles of 90.00, 90.00 and 90.00 degrees. Symmetry generates all atoms from Ru at (0.250, 0.250, 0.250) and W at (0.000, 0.000, 0.000).



Record 10
Entry from the Alexandria database: crystalline Ac2NiIr at its relaxed geometry (PBE).

The density of states at the Fermi level comes out at 1.08 states/eV per atom. For the formation energy, the calculation gives 0.145 eV/atom. The energy above the most stable polymorph in this dataset comes out at 613 meV/atom. As for the final energy: -5.570 eV/atom.

The space group is R-3m (No. 166, hexagonal axes) and the conventional cell measures 4.2772, 4.2772 and 26.0924 Å, with angles of 90.00, 90.00 and 120.00 degrees. Symmetry generates all atoms from Ac at (0.0000, 0.0000, 0.1032), Ni at (0.0000, 0.0000, 0.0000) and Ir at (0.0000, 0.0000, 0.5000).



Record 11
Entry from the Alexandria database: crystalline Y5Cd2Ni2 at its relaxed geometry (PBE).

The density of states at the Fermi level comes out at 0.93 states/eV per atom. For the formation energy, the calculation gives -0.289 eV/atom. As for the final energy: -5.368 eV/atom.

The space group is Cmce (No. 64) and the conventional cell measures 16.373, 7.428 and 7.396 Å, with angles of 90.00, 90.00 and 90.00 degrees. Symmetry generates all atoms from Y at (0.000, 0.000, 0.000), Y at (0.119, 0.182, 0.322), Cd at (0.223, 0.000, 0.000) and Ni at (0.000, 0.118, 0.618).



Record 12
Entry from the Alexandria database: crystalline Nd2AgIr at its relaxed geometry (PBE).

The density of states at the Fermi level comes out at 0.91 states/eV per atom. For the formation energy, the calculation gives -0.447 eV/atom. The energy above the most stable polymorph in this dataset comes out at 55 meV/atom. As for the final energy: -5.759 eV/atom.

The space group is P4/mmm (No. 123) and the conventional cell measures 3.603, 3.603 and 7.552 Å, with angles of 90.00, 90.00 and 90.00 degrees. Symmetry generates all atoms from Nd at (0.000, 0.000, 0.225), Ag at (0.500, 0.500, 0.500) and Ir at (0.500, 0.500, 0.000).



Record 13
Entry from the Alexandria database: crystalline Co4NiAs2 at its relaxed geometry (PBE).

The density of states at the Fermi level comes out at 1.06 states/eV per atom. For the formation energy, the calculation gives 0.207 eV/atom. As for the final energy: -6.008 eV/atom.

The space group is I4/mmm (No. 139) and the conventional cell measures 3.225, 3.225 and 17.455 Å, with angles of 90.00, 90.00 and 90.00 degrees. Symmetry generates all atoms from Co at (0.000, 0.000, 0.144), Co at (0.000, 0.500, 0.250), Ni at (0.000, 0.000, 0.000) and As at (0.000, 0.000, 0.413).



Record 14
Entry from the Alexandria database: crystalline CrCd2Cl at its relaxed geometry (PBE).

The density of states at the Fermi level comes out at 0.52 states/eV per atom. The formation energy without anion corrections comes out at 0.832 eV per formula unit. The energy above the most stable polymorph in this dataset comes out at 235 meV/atom. As for the final energy: -3.117 eV/atom.

The space group is I-4m2 (No. 119) and the conventional cell measures 4.287, 4.287 and 9.514 Å, with angles of 90.00, 90.00 and 90.00 degrees. Symmetry generates all atoms from Cr at (0.000, 0.000, 0.000), Cd at (0.000, 0.000, 0.500), Cd at (0.000, 0.500, 0.750) and Cl at (0.000, 0.500, 0.250).



Record 15
Entry from the Alexandria database: crystalline InSbBr2 at its relaxed geometry (PBE).

The density of states at the Fermi level comes out at 0.44 states/eV per atom. The formation energy without anion corrections comes out at -0.738 eV per formula unit. The energy above the most stable polymorph in this dataset comes out at 165 meV/atom. As for the final energy: -2.736 eV/atom.

The space group is C2/m (No. 12) and the conventional cell measures 7.731, 9.604 and 3.531 Å, with angles of 90.00, 114.37 and 90.00 degrees. Symmetry generates all atoms from In at (0.000, 0.000, 0.000), Sb at (0.000, 0.500, 0.000) and Br at (0.250, 0.250, 0.000).



Record 16
Entry from the Alexandria database: crystalline Mg2ScRh at its relaxed geometry (PBE).

The density of states at the Fermi level comes out at 0.53 states/eV per atom. For the formation energy, the calculation gives -0.354 eV/atom. As for the final energy: -4.572 eV/atom.

The space group is Imm2 (No. 44) and the conventional cell measures 3.508, 4.855 and 9.066 Å, with angles of 90.00, 90.00 and 90.00 degrees. Symmetry generates all atoms from Mg at (0.000, 0.000, 0.000), Mg at (0.000, 0.500, 0.220), Sc at (0.000, 0.000, 0.432) and Rh at (0.000, 0.500, 0.728).



Record 17
Entry from the Alexandria database: crystalline BeSn at its relaxed geometry (PBE).

The density of states at the Fermi level comes out at 0.22 states/eV per atom. For the formation energy, the calculation gives 0.284 eV/atom. The energy above the most stable polymorph in this dataset comes out at 59 meV/atom. As for the final energy: -3.580 eV/atom.

The space group is I4/m (No. 87) and the conventional cell measures 9.743, 9.743 and 3.525 Å, with angles of 90.00, 90.00 and 90.00 degrees. Symmetry generates all atoms from Be at (0.026, 0.401, 0.000) and Sn at (0.005, 0.216, 0.500).



Record 18
Entry from the Alexandria database: crystalline ZnMoCl2 at its relaxed geometry (PBE).

The density of states at the Fermi level comes out at 0.47 states/eV per atom. The formation energy without anion corrections comes out at 1.325 eV per formula unit. The energy above the most stable polymorph in this dataset comes out at 654 meV/atom. As for the final energy: -3.618 eV/atom.

The space group is C2/m (No. 12) and the conventional cell measures 6.039, 8.551 and 3.266 Å, with angles of 90.00, 118.46 and 90.00 degrees. Symmetry generates all atoms from Zn at (0.000, 0.000, 0.000), Mo at (0.000, 0.500, 0.000) and Cl at (0.250, 0.250, 0.000).



Record 19
Entry from the Alexandria database: crystalline TaBeHg4 at its relaxed geometry (PBE).

The density of states at the Fermi level comes out at 1.06 states/eV per atom. For the formation energy, the calculation gives 1.097 eV/atom. As for the final energy: -1.701 eV/atom.

The space group is F-43m (No. 216) and the conventional cell measures 8.061, 8.061 and 8.061 Å, with angles of 90.00, 90.00 and 90.00 degrees. Symmetry generates all atoms from Ta at (0.000, 0.000, 0.000), Be at (0.250, 0.250, 0.750) and Hg at (0.125, 0.125, 0.375).



Record 20
Entry from the Alexandria database: crystalline DyPuSiHg at its relaxed geometry (PBE).

The density of states at the Fermi level comes out at 2.45 states/eV per atom. The formation energy without anion corrections comes out at -1.212 eV per formula unit. As for the final energy: -6.468 eV/atom.

The space group is F-43m (No. 216) and the conventional cell measures 7.263, 7.263 and 7.263 Å, with angles of 90.00, 90.00 and 90.00 degrees. Symmetry generates all atoms from Dy at (0.000, 0.000, 0.000), Pu at (0.000, 0.000, 0.500), Si at (0.250, 0.250, 0.750) and Hg at (0.250, 0.250, 0.250).